1.
# HoTm6Zr

HoTm6Zr after structural relaxation (GGA-PBE, Alexandria).

Results
Total energy (eV per atom): -4.751
V (Å³ per cell): 238.1
Symmetry: P-1
Energy relative to the lowest polymorph listed for this composition (meV/atom): 194.5
Formation energy (eV/atom): 0.244

Unit cell a=6.6227 b=6.3404 c=6.8962 alpha=103.06 beta=58.00 gamma=92.31
With the nearest neighbours (Å) after each atom.
Atoms (fractional coordinates):
Ho1 0.0000 0.5000 0.0000  2 Zr 3.17, 4 Tm 3.36-3.42
Tm1 0.0821 0.7454 0.5108  1 Zr 3.15, 6 Tm 3.20-3.51
Tm2 0.5600 0.7755 0.5364  6 Tm 3.20-3.56, 1 Ho 3.36, 1 Zr 3.44
Tm3 0.4400 0.2245 0.4636  6 Tm 3.20-3.56, 1 Ho 3.36, 1 Zr 3.44
Tm4 0.9179 0.2546 0.4892  1 Zr 3.15, 6 Tm 3.20-3.51
Tm5 0.5484 0.7572 0.0110  6 Tm 3.20-3.56, 1 Zr 3.28, 1 Ho 3.42
Tm6 0.4516 0.2428 0.9890  6 Tm 3.20-3.56, 1 Zr 3.28, 1 Ho 3.42
Zr1 0.0000 0.0000 0.0000  6 Tm 3.15-3.44, 2 Ho 3.17

2.
# CeNdInBi

CeNdInBi after structural relaxation (GGA-PBE, Alexandria).

Results
Total energy (eV per atom): -4.791
V (Å³ per cell): 120.6
Symmetry: F-43m
Formation energy (eV/atom): -0.460

Unit cell a=5.5458 b=5.5458 c=5.5458 alpha=60.00 beta=60.00 gamma=60.00
With the nearest neighbours (Å) after each atom.
Atoms (fractional coordinates):
Nd1 0.5000 0.5000 0.5000  4 Bi 3.40, 4 In 3.40
Bi1 0.7500 0.7500 0.7500  4 Nd 3.40, 4 Ce 3.40
Ce1 0.0000 0.0000 0.0000  4 Bi 3.40, 4 In 3.40
In1 0.2500 0.2500 0.2500  4 Ce 3.40, 4 Nd 3.40

3.
# YSc2GeC

YSc2GeC after structural relaxation (GGA-PBE, Alexandria).

Results
Total energy (eV per atom): -7.260
V (Å³ per cell): 96.5
Symmetry: P4/mmm
Formation energy (eV/atom): -0.666

Unit cell a=4.4825 b=4.4825 c=4.8010 alpha=90.00 beta=90.00 gamma=90.00
With the nearest neighbours (Å) after each atom.
Atoms (fractional coordinates):
Y1 0.0000 0.0000 0.5000  2 C 2.40
Sc1 0.0000 0.5000 0.0000  2 C 2.24
Sc2 0.5000 0.0000 0.0000  2 C 2.24
Ge1 0.5000 0.5000 0.5000  4 Y 3.17, 8 Sc 3.28
C1 0.0000 0.0000 0.0000  4 Sc 2.24, 2 Y 2.40